Entry 1:
MgAg2Sn: optimized geometry, PBE.

Geometry as POSCAR:
```
MgAg2Sn
1.0
-1.0005 3.8413 1.5158
-3.4233 0.1556 -2.6539
-2.4547 -1.8462 3.0582
Mg Sn Ag
1 1 2
direct
0.5000 0.5000 0.5000
0.5000 0.0000 0.0000
0.0000 0.0000 0.5000
0.0000 0.5000 0.0000
```

D(E_F) = 0.4121 states/eV/atom
Energy of formation from the pure elements = -0.12 eV per atom
Volume = 19.956 A^3/atom

=====

Entry 2:
Li2TbEr2In2: optimized geometry, PBE.

Geometry as POSCAR:
```
Li2TbEr2In2
1.0
4.8455 0.0000 0.0000
2.4228 4.1963 0.0000
2.4228 1.3988 8.7418
Li Tb Er In
2 1 2 2
direct
0.6016 0.6016 0.1952
0.3984 0.3984 0.8048
0.0000 0.0000 0.0000
0.1280 0.1280 0.6159
0.8720 0.8720 0.3841
0.7389 0.7389 0.7833
0.2611 0.2611 0.2167
```

D(E_F) = 0.7539 states/eV/atom
Energy of formation from the pure elements = -0.22 eV per atom
Volume = 25.393 A^3/atom

=====

Entry 3:
GeHPtAu2: optimized geometry, PBE.

Geometry as POSCAR:
```
GeHPtAu2
1.0
-3.9025 0.7544 2.4145
1.7394 -0.5911 2.9960
1.0492 4.5219 0.2830
H Ge Au Pt
1 1 2 1
direct
0.0000 0.0000 0.0000
0.5000 0.5000 0.5000
0.0000 0.0000 0.5000
0.5000 0.0000 0.0000
0.0000 0.5000 0.0000
```

D(E_F) = 0.3590 states/eV/atom
Volume = 15.202 A^3/atom
E above lowest polymorph = 0.000 eV/atom

=====

Entry 4:
Ag2Sb2Te: optimized geometry, PBE.

Geometry as POSCAR:
```
Ag2Sb2Te
1.0
-3.2531 -0.3303 2.2403
2.2415 -1.0280 3.1032
0.1466 7.0378 4.7570
Sb Te Ag
2 1 2
direct
0.3883 0.3883 0.2235
0.6117 0.6117 0.7765
0.0000 0.0000 0.0000
0.7500 0.2500 0.5000
0.2500 0.7500 0.5000
```

D(E_F) = 0.5446 states/eV/atom
Volume = 25.201 A^3/atom
E above lowest polymorph = 0.056 eV/atom
Raw formation energy = 198 meV/atom

=====

Entry 5:
AcPrAg4: optimized geometry, PBE.

Geometry as POSCAR:
```
AcPrAg4
1.0
3.8399 0.0000 0.0000
0.0000 4.8825 0.0000
0.0000 0.0000 8.3148
Ac Pr Ag
1 1 4
direct
0.5000 0.5000 0.0000
0.5000 0.0000 0.5000
0.0000 0.5000 0.6646
0.0000 0.5000 0.3354
0.0000 0.0000 0.1714
0.0000 0.0000 0.8286
```

D(E_F) = 0.6184 states/eV/atom
Energy of formation from the pure elements = -0.27 eV per atom
Volume = 25.982 A^3/atom
E above lowest polymorph = 0.007 eV/atom

=====

Entry 6:
ScAl2Pb: optimized geometry, PBE.

Geometry as POSCAR:
```
ScAl2Pb
1.0
-0.8044 -1.0067 3.6204
3.7516 -0.4258 0.7152
0.3274 5.6400 1.6410
Pb Sc Al
1 1 2
direct
0.5000 0.5000 0.2500
0.5000 0.5000 0.7500
0.0000 0.0000 0.9820
0.0000 0.0000 0.5180
```

D(E_F) = 0.6227 states/eV/atom
Energy of formation from the pure elements = -0.04 eV per atom
Volume = 21.720 A^3/atom

=====

Entry 7:
Sr2LiTlS4: optimized geometry, PBE.

Geometry as POSCAR:
```
Sr2LiTlS4
1.0
-3.6179 -3.1557 6.5503
6.9113 -0.2988 4.2543
-2.6865 7.1819 -3.3834
Sr Li Tl S
4 2 2 8
direct
0.5000 0.0000 0.0000
0.5000 0.0000 0.5000
0.0000 0.0000 0.5000
0.5000 0.5000 0.0000
0.0000 0.5000 0.0000
0.0000 0.5000 0.5000
0.5000 0.5000 0.5000
0.0000 0.0000 0.0000
0.2252 0.7594 0.9924
0.7406 0.2748 0.5076
0.2594 0.7252 0.4924
0.7748 0.2406 0.0076
0.7636 0.7365 0.9965
0.7635 0.7364 0.5035
0.2365 0.2636 0.4965
0.2364 0.2635 0.0035
```

Volume = 24.315 A^3/atom
Raw formation energy = -1262 meV/atom

=====

Entry 8:
Nd8SbTe6: optimized geometry, PBE.

Geometry as POSCAR:
```
Nd8SbTe6
1.0
4.5133 0.0000 0.0000
0.0000 9.7514 -5.6300
0.0000 0.0000 11.2600
Nd Sb Te
8 1 6
direct
0.7409 0.9685 0.2703
0.7409 0.7297 0.6982
0.7409 0.3018 0.0315
0.2591 0.0315 0.7297
0.2591 0.2703 0.3018
0.2591 0.6982 0.9685
0.7454 0.3333 0.6667
0.2546 0.6667 0.3333
0.5000 0.0000 0.0000
0.7533 0.6458 0.1245
0.7533 0.8755 0.5213
0.7533 0.4787 0.3542
0.2467 0.3542 0.8755
0.2467 0.1245 0.4787
0.2467 0.5213 0.6458
```

D(E_F) = 0.6434 states/eV/atom
Volume = 33.037 A^3/atom
Raw formation energy = -1063 meV/atom

=====

Values for uncorrected energy, eV per atom, ordered as above
-2.941, -3.514, -3.914, -3.220, -3.656, -4.426, -4.282, -5.137